Entry from Alexandria: a geometry-optimized UPN structure (PBE-GGA).

## Properties
Uncorrected formation energy   -0.364 eV per atom
Distance to the lowest polymorph of the same formula   0.739 eV per atom

a b c (Å): 5.789 5.789 5.789
angles (deg): 149.41 149.41 43.81
Element x y z (fractional)
U 0.000 0.000 0.000
P 0.280 0.280 0.000
N 0.562 0.562 0.000